Record 1
Sr2Ni2Sb | PBE | relaxed

abc: 7.173 7.173 4.577
angles: 90.00 90.00 90.00
Element x y z (fractional)
1 Ni 0.617 0.117 0.000
2 Ni 0.883 0.617 0.000
3 Ni 0.383 0.883 0.000
4 Ni 0.117 0.383 0.000
5 Sr 0.183 0.683 0.500
6 Sr 0.817 0.317 0.500
7 Sr 0.683 0.817 0.500
8 Sr 0.317 0.183 0.500
9 Sb 0.000 0.000 0.000
10 Sb 0.500 0.500 0.000

Output
**Polymorph energy (0 for the lowest one)**: 0 meV per atom
**Formation energy without anion corrections**: -25.0 kJ per mole of atoms
**Total energy**: -4.069 eV/atom

Record 2
CaScTiIr2 | PBE | relaxed

abc: 4.289 4.289 6.386
angles: 109.62 109.62 90.00
Element x y z (fractional)
1 Ir 0.384 0.384 0.769
2 Ir 0.616 0.616 0.231
3 Ti 0.250 0.750 0.500
4 Sc 0.750 0.250 0.500
5 Ca 0.000 0.000 0.000

Output
**Energy of formation**: -0.696 eV per atom
**Total energy**: -7.486 eV/atom

Record 3
UCu2NiS4 | PBE | relaxed

abc: 5.906 5.906 5.550
angles: 115.15 115.15 101.61
Element x y z (fractional)
1 S 0.604 0.604 0.700
2 S 0.322 0.868 0.190
3 S 0.868 0.322 0.190
4 S 0.096 0.096 0.700
5 U 0.603 0.603 0.206
6 Ni 0.001 0.001 0.003
7 Cu 0.253 0.753 0.506
8 Cu 0.753 0.253 0.506

Output
**Formation energy without anion corrections**: -59.4 kJ per mole of atoms
**Total energy**: -5.838 eV/atom

Record 4
Tm2Co5P3 | PBE | relaxed

abc: 3.771 6.227 11.667
angles: 90.00 99.30 90.00
Element x y z (fractional)
1 P 0.386 0.010 0.772
2 P 0.057 0.967 0.113
3 P 0.614 0.510 0.228
4 P 0.943 0.467 0.887
5 P 0.771 0.717 0.541
6 P 0.229 0.217 0.459
7 Co 0.281 0.526 0.561
8 Co 0.719 0.026 0.439
9 Co 0.293 0.919 0.585
10 Co 0.594 0.868 0.188
11 Co 0.937 0.095 0.873
12 Co 0.063 0.595 0.127
13 Co 0.707 0.419 0.415
14 Co 0.131 0.254 0.263
15 Co 0.869 0.754 0.737
16 Co 0.406 0.368 0.812
17 Tm 0.521 0.258 0.042
18 Tm 0.479 0.758 0.958
19 Tm 0.824 0.250 0.647
20 Tm 0.176 0.750 0.353

Output
**Energy of formation**: -0.726 eV per atom
**Total energy**: -6.797 eV/atom

Record 5
Nd4Zn3In | PBE | relaxed

abc: 3.725 4.667 12.203
angles: 90.00 90.00 90.00
Element x y z (fractional)
1 Zn 0.000 0.000 0.437
2 Zn 0.500 0.000 0.927
3 Zn 0.000 0.500 0.566
4 In 0.500 0.500 0.064
5 Nd 0.500 0.500 0.355
6 Nd 0.000 0.500 0.838
7 Nd 0.500 0.000 0.650
8 Nd 0.000 0.000 0.162

Output
**Energy of formation**: -0.301 eV per atom
**Polymorph energy (0 for the lowest one)**: 36 meV per atom
**Total energy**: -3.505 eV/atom

Record 6
YSiAs2 | PBE | relaxed

abc: 7.549 7.549 7.549
angles: 29.38 29.38 29.38
Element x y z (fractional)
1 As 0.001 0.001 0.001
2 As 0.233 0.233 0.233
3 Y 0.753 0.753 0.753
4 Si 0.513 0.513 0.513

Output
**Formation energy without anion corrections**: -25.0 kJ per mole of atoms
**Total energy**: -5.556 eV/atom

Record 7
OsAuSe2 | PBE | relaxed

abc: 3.002 4.957 4.700
angles: 90.00 90.00 90.00
Element x y z (fractional)
1 Au 0.500 0.000 0.500
2 Os 0.000 0.500 0.500
3 Se 0.500 0.500 0.000
4 Se 0.000 0.000 0.000

Output
**Polymorph energy (0 for the lowest one)**: 845 meV per atom
**Formation energy without anion corrections**: 90.4 kJ per mole of atoms
**Total energy**: -4.432 eV/atom

Record 8
NaIn12Pb6 | PBE | relaxed

abc: 8.220 8.220 8.220
angles: 92.63 87.37 87.37
Element x y z (fractional)
1 In 0.538 0.532 0.792
2 In 0.468 0.792 0.462
3 In 0.372 0.855 0.950
4 In 0.532 0.208 0.538
5 In 0.628 0.145 0.050
6 In 0.792 0.538 0.468
7 In 0.855 0.050 0.372
8 In 0.462 0.468 0.208
9 In 0.208 0.462 0.532
10 In 0.050 0.628 0.855
11 In 0.950 0.372 0.145
12 In 0.145 0.950 0.628
13 Pb 0.880 0.281 0.745
14 Pb 0.255 0.120 0.281
15 Pb 0.745 0.880 0.719
16 Pb 0.719 0.745 0.120
17 Pb 0.281 0.255 0.880
18 Pb 0.120 0.719 0.255
19 Na 0.000 0.000 0.000

Output
**Energy of formation**: 0.038 eV per atom
**Polymorph energy (0 for the lowest one)**: 0 meV per atom
**Total energy**: -2.932 eV/atom

Record 9
KAlTe2I | PBE | relaxed

abc: 6.396 6.396 6.406
angles: 90.00 90.00 90.00
Element x y z (fractional)
1 I 0.000 0.000 0.500
2 K 0.000 0.000 0.000
3 Te 0.000 0.500 0.000
4 Te 0.500 0.000 0.000
5 Al 0.500 0.500 0.500

Output
**Polymorph energy (0 for the lowest one)**: 1007 meV per atom
**Formation energy without anion corrections**: 54.6 kJ per mole of atoms
**Total energy**: -1.969 eV/atom

Record 10
Er3Sc13 | PBE | relaxed

abc: 7.824 7.824 6.735
angles: 90.00 90.00 96.05
Element x y z (fractional)
1 Sc 0.212 0.788 0.000
2 Sc 0.212 0.788 0.500
3 Sc 0.045 0.464 0.748
4 Sc 0.045 0.464 0.252
5 Sc 0.293 0.212 0.000
6 Sc 0.706 0.294 0.500
7 Sc 0.785 0.701 0.500
8 Sc 0.536 0.955 0.252
9 Sc 0.536 0.955 0.748
10 Sc 0.299 0.215 0.500
11 Sc 0.456 0.544 0.251
12 Sc 0.788 0.707 0.000
13 Sc 0.456 0.544 0.749
14 Er 0.962 0.038 0.748
15 Er 0.706 0.294 0.000
16 Er 0.962 0.038 0.252

Output
**Energy of formation**: 0.012 eV per atom
**Total energy**: -5.988 eV/atom

Record 11
Mg2AgMo | PBE | relaxed

abc: 4.711 4.711 4.711
angles: 60.00 60.00 60.00
Element x y z (fractional)
1 Mo 0.750 0.750 0.750
2 Mg 0.250 0.250 0.250
3 Mg 0.000 0.000 0.000
4 Ag 0.500 0.500 0.500

Output
**Energy of formation**: 0.414 eV per atom
**Polymorph energy (0 for the lowest one)**: 304 meV per atom
**Total energy**: -3.804 eV/atom

Record 12
Pu3As2Pd | PBE | relaxed

abc: 4.648 10.393 7.589
angles: 133.21 107.83 90.00
Element x y z (fractional)
1 As 0.367 0.367 0.733
2 As 0.366 0.867 0.733
3 As 0.634 0.133 0.267
4 As 0.633 0.633 0.267
5 Pu 0.253 0.003 0.505
6 Pu 0.500 0.250 0.000
7 Pu 0.500 0.750 0.000
8 Pu 0.747 0.997 0.495
9 Pu 0.747 0.497 0.495
10 Pu 0.253 0.503 0.505
11 Pd 0.000 0.000 0.000
12 Pd 0.000 0.500 0.000

Output
**Energy of formation**: -0.028 eV per atom
**Total energy**: -9.609 eV/atom

Record 13
NiTe3Ir | PBE | relaxed

abc: 4.868 4.868 4.868
angles: 90.00 90.00 90.00
Element x y z (fractional)
1 Ir 0.500 0.500 0.500
2 Ni 0.000 0.000 0.000
3 Te 0.000 0.000 0.500
4 Te 0.000 0.500 0.000
5 Te 0.500 0.000 0.000

Output
**Polymorph energy (0 for the lowest one)**: 0 meV per atom
**Formation energy without anion corrections**: 89.1 kJ per mole of atoms
**Total energy**: -3.890 eV/atom

Record 14
LiPmH6Ru | PBE | relaxed

abc: 4.715 4.714 4.303
angles: 89.99 90.04 60.00
Element x y z (fractional)
1 Pm 0.000 0.000 0.851
2 H 0.156 0.161 0.311
3 H 0.502 0.995 0.760
4 H 0.503 0.502 0.760
5 H 0.683 0.156 0.311
6 H 0.995 0.503 0.760
7 H 0.161 0.683 0.311
8 Li 0.666 0.667 0.407
9 Ru 0.333 0.333 0.529

Output
**Total energy**: -4.456 eV/atom

Record 15
Ac2Hg2Pd | PBE | relaxed

abc: 4.308 6.323 11.893
angles: 92.24 79.56 70.08
Element x y z (fractional)
1 Hg 0.652 0.808 0.889
2 Hg 0.102 0.236 0.559
3 Hg 0.898 0.764 0.441
4 Hg 0.348 0.192 0.111
5 Pd 0.611 0.085 0.693
6 Pd 0.389 0.915 0.307
7 Ac 0.936 0.250 0.878
8 Ac 0.327 0.685 0.660
9 Ac 0.064 0.750 0.122
10 Ac 0.673 0.315 0.340

Output
**Energy of formation**: -0.593 eV per atom
**Total energy**: -3.396 eV/atom

Record 16
CaTcAu2 | PBE | relaxed

abc: 9.670 9.670 9.670
angles: 18.00 18.00 18.00
Element x y z (fractional)
1 Au 0.005 0.005 0.005
2 Au 0.495 0.495 0.495
3 Tc 0.750 0.750 0.750
4 Ca 0.250 0.250 0.250

Output
**Energy of formation**: 0.364 eV per atom
**Polymorph energy (0 for the lowest one)**: 346 meV per atom
**Total energy**: -4.366 eV/atom

Record 17
Ba2IrCl | PBE | relaxed

abc: 3.809 3.825 9.053
angles: 65.04 90.00 90.00
Element x y z (fractional)
1 Ir 0.500 0.750 0.750
2 Cl 0.500 0.250 0.250
3 Ba 0.000 0.027 0.972
4 Ba 0.000 0.473 0.528

Output
**Polymorph energy (0 for the lowest one)**: 49 meV per atom
**Formation energy without anion corrections**: -87.6 kJ per mole of atoms
**Total energy**: -4.546 eV/atom

Record 18
BaZn2Sb | PBE | relaxed

abc: 3.962 3.962 7.038
angles: 90.00 90.00 90.01
Element x y z (fractional)
1 Ba 0.500 0.500 0.250
2 Sb 0.500 0.500 0.750
3 Zn 0.000 0.000 0.559
4 Zn 0.000 0.000 0.941

Output
**Formation energy without anion corrections**: -13.9 kJ per mole of atoms
**Total energy**: -2.293 eV/atom

Record 19
Ta2SbCl | PBE | relaxed

abc: 4.870 4.870 5.365
angles: 77.87 77.87 39.52
Element x y z (fractional)
1 Sb 0.742 0.742 0.787
2 Cl 0.517 0.517 0.380
3 Ta 0.251 0.251 0.300
4 Ta 0.990 0.990 0.034

Output
**Polymorph energy (0 for the lowest one)**: 405 meV per atom
**Formation energy without anion corrections**: 18.4 kJ per mole of atoms
**Total energy**: -7.228 eV/atom

Record 20
ScTi2S5 | PBE | relaxed

abc: 4.786 6.941 6.727
angles: 83.02 69.22 69.96
Element x y z (fractional)
1 S 0.447 0.266 0.838
2 S 0.553 0.734 0.162
3 S 0.787 0.266 0.162
4 S 0.000 0.500 0.500
5 S 0.213 0.734 0.838
6 Ti 0.186 0.500 0.123
7 Ti 0.814 0.500 0.877
8 Sc 0.500 0.500 0.500

Output
**Formation energy without anion corrections**: -110.8 kJ per mole of atoms
**Total energy**: -6.493 eV/atom

Record 21
Sm2Tm2Tl7 | PBE | relaxed

abc: 7.106 7.176 7.106
angles: 90.00 101.00 90.00
Element x y z (fractional)
1 Tl 0.000 0.000 0.000
2 Tl 0.000 0.718 0.500
3 Tl 0.500 0.718 0.000
4 Tl 0.500 0.286 0.500
5 Tl 0.500 0.282 0.000
6 Tl 0.000 0.282 0.500
7 Tl 0.500 0.714 0.500
8 Sm 0.813 0.500 0.813
9 Sm 0.187 0.500 0.187
10 Tm 0.710 0.000 0.290
11 Tm 0.290 0.000 0.710

Output
**Energy of formation**: 0.077 eV per atom
**Total energy**: -3.099 eV/atom

Record 22
Er2MgZn3 | PBE | relaxed

abc: 3.480 3.480 10.262
angles: 90.00 90.00 90.00
Element x y z (fractional)
1 Mg 0.500 0.500 0.500
2 Zn 0.000 0.000 0.649
3 Zn 0.000 0.000 0.351
4 Zn 0.000 0.000 0.000
5 Er 0.500 0.500 0.827
6 Er 0.500 0.500 0.173

Output
**Energy of formation**: -0.273 eV per atom
**Polymorph energy (0 for the lowest one)**: 51 meV per atom
**Total energy**: -2.697 eV/atom

Record 23
Tb2NdBr | PBE | relaxed

abc: 3.510 3.510 11.729
angles: 81.39 81.39 60.00
Element x y z (fractional)
1 Tb 0.099 0.099 0.704
2 Tb 0.901 0.901 0.296
3 Br 0.500 0.500 0.500
4 Nd 0.000 0.000 0.000

Output
**Formation energy without anion corrections**: -25.3 kJ per mole of atoms
**Total energy**: -4.187 eV/atom

Record 24
CsNa2SrAg | PBE | relaxed

abc: 6.219 6.219 6.195
angles: 90.00 90.00 90.00
Element x y z (fractional)
1 Na 0.500 0.000 0.000
2 Na 0.000 0.500 0.000
3 Cs 0.500 0.500 0.500
4 Sr 0.000 0.000 0.500
5 Ag 0.000 0.000 0.000

Output
**Energy of formation**: 0.057 eV per atom
**Total energy**: -1.548 eV/atom

Record 25
CaAcH | PBE | relaxed

abc: 3.872 3.872 6.410
angles: 90.00 90.00 120.00
Element x y z (fractional)
1 Ac 0.000 0.000 0.093
2 Ca 0.333 0.667 0.569
3 H 0.667 0.333 0.338

Output
**Polymorph energy (0 for the lowest one)**: 4 meV per atom
**Total energy**: -3.300 eV/atom